Entry 1:
Material: Nd2Ge3Ir5
Method: DFT, GGA-PBE
State: optimized geometry

Calculated values
As for the space-group type: No. 115. As for the density of states at the Fermi level: 9.76 states/eV/cell. The value obtained for the magnetization is 0.0 μB per cell. Its distance to the lowest polymorph of the same formula is 1.53 eV per formula unit.

Lattice parameters (Å, degrees): 4.0975 4.0975 11.3055 90.00 90.00 90.00
With the nearest neighbours (Å) after each atom.
Fractional coordinates of all 10 atoms:
Nd 0.5000 0.0000 0.2308  8 Ir 3.04-3.32, 4 Ge 3.25
Nd 0.0000 0.5000 0.7692  8 Ir 3.04-3.32, 4 Ge 3.25
Ge 0.5000 0.0000 0.6393  3 Ir 2.39-2.58, 2 Ge 2.58
Ge 0.0000 0.5000 0.3607  3 Ir 2.39-2.58, 2 Ge 2.58
Ge 0.0000 0.0000 0.5000  4 Ge 2.58
Ir 0.5000 0.5000 0.0000  8 Ir 2.65-2.90
Ir 0.0000 0.0000 0.0000  8 Ir 2.65-2.90
Ir 0.5000 0.0000 0.8507  1 Ge 2.39, 4 Ir 2.65
Ir 0.0000 0.5000 0.1493  1 Ge 2.39, 4 Ir 2.65
Ir 0.5000 0.5000 0.5000  4 Ge 2.58


Entry 2:
Material: Mg2CdCl
Method: DFT, GGA-PBE
State: optimized geometry

Calculated values
As for the space-group type: No. 139. As for the density of states at the Fermi level: 1.74 states/eV/cell. The value obtained for the magnetization is 0.0 μB per cell. Its distance to the lowest polymorph of the same formula is 1.44 eV per formula unit. The calculation puts the raw formation energy at -0.21 eV per atom.

Lattice parameters (Å, degrees): 5.5061 5.5061 5.5061 130.48 130.48 72.65
With the nearest neighbours (Å) after each atom.
Fractional coordinates of all 4 atoms:
Cd 0.2500 0.7500 0.5000  8 Mg 3.20, 4 Cl 3.26
Cl 0.7500 0.2500 0.5000  8 Mg 3.20, 4 Cd 3.26
Mg 0.0000 0.0000 0.0000  4 Cd 3.20, 4 Cl 3.20, 4 Mg 3.26
Mg 0.5000 0.5000 0.0000  4 Cl 3.20, 4 Cd 3.20, 4 Mg 3.26


Entry 3:
Material: K3Te
Method: DFT, GGA-PBE
State: optimized geometry

Calculated values
As for the space-group type: No. 139. As for the density of states at the Fermi level: 1.89 states/eV/cell. The value obtained for the magnetization is 0.4 μB per cell. Its distance to the lowest polymorph of the same formula is 0.49 eV per formula unit. The calculation puts the raw formation energy at -0.52 eV per atom.

Lattice parameters (Å, degrees): 6.8343 6.8343 6.8343 131.69 131.69 70.72
With the nearest neighbours (Å) after each atom.
Fractional coordinates of all 4 atoms:
K 0.2500 0.7500 0.5000  4 Te 3.95, 8 K 3.95-3.96
K 0.5000 0.5000 0.0000  8 K 3.95, 4 Te 3.96
K 0.7500 0.2500 0.5000  8 K 3.95-3.96, 4 Te 3.95
Te 0.0000 0.0000 0.0000  12 K 3.95-3.96


Entry 4:
Material: VRu3
Method: DFT, GGA-PBE
State: optimized geometry

Calculated values
As for the space-group type: No. 139. As for the density of states at the Fermi level: 4.66 states/eV/cell. The value obtained for the magnetization is 0.0 μB per cell. The total energy is -37.22 eV/cell.

Lattice parameters (Å, degrees): 3.7981 3.7981 4.6813 113.93 113.93 90.00
With the nearest neighbours (Å) after each atom.
Fractional coordinates of all 4 atoms:
Ru 0.7500 0.2500 0.5000  8 Ru 2.69-2.70, 4 V 2.70
Ru 0.2500 0.7500 0.5000  8 Ru 2.69-2.70, 4 V 2.70
Ru 0.5000 0.5000 0.0000  4 V 2.69, 8 Ru 2.70
V 0.0000 0.0000 0.0000  12 Ru 2.69-2.70


Entry 5:
Material: YPu2Sn9
Method: DFT, GGA-PBE
State: optimized geometry

Calculated values
As for the space-group type: No. 123. As for the density of states at the Fermi level: 28.28 states/eV/cell. The value obtained for the magnetization is 0.3 μB per cell. The total energy is -71.21 eV/cell.

Lattice parameters (Å, degrees): 4.6206 4.6206 13.9169 90.00 90.00 90.00
With the nearest neighbours (Å) after each atom.
Fractional coordinates of all 12 atoms:
Y 0.0000 0.0000 0.0000  12 Sn 3.27-3.33
Pu 0.0000 0.0000 0.3382  12 Sn 3.23-3.27
Pu 0.0000 0.0000 0.6618  12 Sn 3.23-3.27
Sn 0.5000 0.5000 0.0000  4 Y 3.27, 8 Sn 3.33
Sn 0.5000 0.5000 0.3358  8 Sn 3.24-3.25, 4 Pu 3.27
Sn 0.5000 0.5000 0.6642  8 Sn 3.24-3.25, 4 Pu 3.27
Sn 0.5000 0.0000 0.1722  8 Sn 3.24-3.33, 2 Pu 3.27, 2 Y 3.33
Sn 0.5000 0.0000 0.5000  4 Pu 3.23, 8 Sn 3.25-3.27
Sn 0.5000 0.0000 0.8278  8 Sn 3.24-3.33, 2 Pu 3.27, 2 Y 3.33
Sn 0.0000 0.5000 0.1722  8 Sn 3.24-3.33, 2 Pu 3.27, 2 Y 3.33
Sn 0.0000 0.5000 0.5000  4 Pu 3.23, 8 Sn 3.25-3.27
Sn 0.0000 0.5000 0.8278  8 Sn 3.24-3.33, 2 Pu 3.27, 2 Y 3.33


Entry 6:
Material: AcLaHoIn
Method: DFT, GGA-PBE
State: optimized geometry

Calculated values
As for the space-group type: No. 216. As for the density of states at the Fermi level: 7.05 states/eV/cell. The value obtained for the magnetization is 0.0 μB per cell. The total energy is -16.65 eV/cell.

Lattice parameters (Å, degrees): 5.6954 5.6954 5.6954 60.00 60.00 60.00
With the nearest neighbours (Å) after each atom.
Fractional coordinates of all 4 atoms:
Ac 0.5000 0.5000 0.5000  4 La 3.49, 4 Ho 3.49
In 0.0000 0.0000 0.0000  4 Ho 3.49, 4 La 3.49
Ho 0.2500 0.2500 0.2500  4 Ac 3.49, 4 In 3.49
La 0.7500 0.7500 0.7500  4 Ac 3.49, 4 In 3.49


Entry 7:
Material: Ac2PrZn2Sn2
Method: DFT, GGA-PBE
State: optimized geometry

Calculated values
As for the space-group type: No. 166. As for the density of states at the Fermi level: 6.57 states/eV/cell. The value obtained for the magnetization is 0.2 μB per cell. The total energy is -26.53 eV/cell.

Lattice parameters (Å, degrees): 4.4923 4.4923 13.0843 80.12 80.12 60.00
With the nearest neighbours (Å) after each atom.
Fractional coordinates of all 7 atoms:
Ac 0.1188 0.1188 0.6437  3 Zn 3.27, 3 Sn 3.63
Ac 0.8812 0.8812 0.3563  3 Zn 3.27, 3 Sn 3.63
Pr 0.0000 0.0000 0.0000  6 Sn 3.30, 6 Zn 3.66
Zn 0.5996 0.5996 0.2011  3 Sn 2.65
Zn 0.4004 0.4004 0.7989  3 Sn 2.65
Sn 0.7196 0.7196 0.8413  3 Zn 2.65
Sn 0.2804 0.2804 0.1587  3 Zn 2.65


Entry 8:
Material: Co2BiAs
Method: DFT, GGA-PBE
State: optimized geometry

Calculated values
As for the space-group type: No. 122. As for the density of states at the Fermi level: 7.72 states/eV/cell. The value obtained for the magnetization is 3.6 μB per cell. The total energy is -43.26 eV/cell.

Lattice parameters (Å, degrees): 4.4446 4.4446 8.2291 74.33 74.33 90.00
With the nearest neighbours (Å) after each atom.
Fractional coordinates of all 8 atoms:
As 0.5000 0.5000 0.0000  4 Co 2.29
As 0.2500 0.7500 0.5000  4 Co 2.29
Co 0.5186 0.1250 0.2500  2 As 2.29, 2 Co 2.56
Co 0.2314 0.6250 0.2500  2 As 2.29, 2 Co 2.56
Co 0.3750 0.4814 0.7500  2 As 2.29, 2 Co 2.56
Co 0.8750 0.7686 0.7500  2 As 2.29, 2 Co 2.56
Bi 0.0000 0.0000 0.0000  4 Co 2.71
Bi 0.7500 0.2500 0.5000  4 Co 2.71


Entry 9:
Material: TaCuBr2
Method: DFT, GGA-PBE
State: optimized geometry

Calculated values
As for the space-group type: No. 44. As for the density of states at the Fermi level: 2.69 states/eV/cell. The value obtained for the magnetization is 0.8 μB per cell. Its distance to the lowest polymorph of the same formula is 1.83 eV per formula unit. The calculation puts the raw formation energy at 0.32 eV per atom.

Lattice parameters (Å, degrees): 6.9815 6.9815 6.9815 154.18 139.87 48.34
With the nearest neighbours (Å) after each atom.
Fractional coordinates of all 4 atoms:
Br 0.0728 0.0728 0.0000  2 Ta 2.67
Br 0.7721 0.2721 0.5000  4 Ta 2.88, 2 Cu 2.99, 2 Br 3.12
Cu 0.4126 0.4126 0.0000  2 Ta 2.67, 2 Br 2.99
Ta 0.2425 0.7425 0.5000  6 Br 2.67-2.88, 2 Cu 2.67


Entry 10:
Material: Ce4Zn5Co2
Method: DFT, GGA-PBE
State: optimized geometry

Calculated values
As for the space-group type: No. 10. As for the density of states at the Fermi level: 17.96 states/eV/cell. The value obtained for the magnetization is 0.5 μB per cell. The total energy is -46.61 eV/cell.

Lattice parameters (Å, degrees): 3.5740 7.0730 8.9911 94.04 90.00 90.00
With the nearest neighbours (Å) after each atom.
Fractional coordinates of all 11 atoms:
Ce 0.5000 0.7646 0.5512  4 Co 2.83-2.91, 4 Zn 3.15-3.17
Ce 0.5000 0.1593 0.8562  2 Co 2.63
Ce 0.5000 0.2354 0.4488  4 Co 2.83-2.91, 4 Zn 3.15-3.17
Ce 0.5000 0.8407 0.1438  2 Co 2.63
Zn 0.0000 0.5526 0.3031  1 Co 2.65, 2 Zn 2.70-2.72
Zn 0.0000 0.2054 0.1573  2 Zn 2.60-2.70, 1 Co 2.73
Zn 0.0000 0.5000 0.0000  4 Zn 2.60-2.72
Zn 0.0000 0.7946 0.8427  2 Zn 2.60-2.70, 1 Co 2.73
Zn 0.0000 0.4474 0.6969  1 Co 2.65, 2 Zn 2.70-2.72
Co 0.0000 0.0739 0.6481  6 Ce 2.63-2.91, 2 Zn 2.65-2.73, 1 Co 2.79
Co 0.0000 0.9261 0.3519  6 Ce 2.63-2.91, 2 Zn 2.65-2.73, 1 Co 2.79


Entry 11:
Material: ReSbTe2Os
Method: DFT, GGA-PBE
State: optimized geometry

Calculated values
As for the space-group type: No. 123. As for the density of states at the Fermi level: 5.59 states/eV/cell. The value obtained for the magnetization is 0.4 μB per cell. Its distance to the lowest polymorph of the same formula is 0.24 eV per formula unit. The calculation puts the raw formation energy at 1.70 eV per atom.

Lattice parameters (Å, degrees): 5.0960 5.0960 5.0875 90.00 90.00 90.00
With the nearest neighbours (Å) after each atom.
Fractional coordinates of all 5 atoms:
Re 0.0000 0.0000 0.0000  2 Sb 2.54, 4 Te 2.55
Te 0.0000 0.5000 0.0000  2 Re 2.55
Te 0.5000 0.0000 0.0000  2 Re 2.55
Os 0.5000 0.5000 0.5000  8 Te 3.60, 4 Sb 3.60
Sb 0.0000 0.0000 0.5000  2 Re 2.54


Entry 12:
Material: CoAgGe2
Method: DFT, GGA-PBE
State: optimized geometry

Calculated values
As for the space-group type: No. 225. As for the density of states at the Fermi level: 3.14 states/eV/cell. The value obtained for the magnetization is 0.0 μB per cell. Its distance to the lowest polymorph of the same formula is 1.07 eV per formula unit.

Lattice parameters (Å, degrees): 4.4397 4.4397 4.4397 60.00 60.00 60.00
With the nearest neighbours (Å) after each atom.
Fractional coordinates of all 4 atoms:
Ge 0.2500 0.2500 0.2500  4 Ag 2.72, 4 Co 2.72
Ge 0.7500 0.7500 0.7500  4 Ag 2.72, 4 Co 2.72
Co 0.0000 0.0000 0.0000  8 Ge 2.72
Ag 0.5000 0.5000 0.5000  8 Ge 2.72


Question: Look up the magnetization of the second one.
Answer: 0.0 μB per cell


Question: Which formula does entry 9 have?
Answer: TaCuBr2


Question: What is the magnetization in the third record?
Answer: 0.4 μB per cell